# 1
5
Lattice="3.6749 0.0000 0.0000 0.0000 3.6749 0.0000 0.0000 0.0000 3.7470" Properties=species:S:1:pos:R:3 comment="PBE-GGA MnGaCo2H, optimized geometry" density_g_cm3=8.0 total_energy_ev_per_atom=-5.90 m_tot_mub_per_cell=5.115 relative_energy_kj_per_mol_atoms=21.3 pbc="T T T"
Mn 0.0000 0.0000 0.0000
Ga 1.8374 1.8374 0.0000
Co 0.0000 1.8374 1.8735
Co 1.8374 0.0000 1.8735
H 1.8374 1.8374 1.8735


# 2
5
Lattice="3.7149 0.0000 0.0000 0.0000 3.7149 0.0000 0.0000 0.0000 3.6046" Properties=species:S:1:pos:R:3 comment="PBE-GGA MnGaCo2H, optimized geometry" density_g_cm3=8.1 total_energy_ev_per_atom=-6.12 m_tot_mub_per_cell=4.945 relative_energy_kj_per_mol_atoms=0.0 pbc="T T T"
Mn 0.0000 0.0000 0.0000
Ga 1.8575 1.8575 0.0000
Co 0.0000 1.8575 1.8023
Co 1.8575 0.0000 1.8023
H 0.0000 0.0000 1.8023


# 3
10
Lattice="0.0000 3.6644 3.6644 3.6644 0.0000 3.6644 3.6644 3.6644 0.0000" Properties=species:S:1:pos:R:3 comment="PBE-GGA Ga2Co6HN, optimized geometry" density_g_cm3=8.6 total_energy_ev_per_atom=-6.23 m_tot_mub_per_cell=1.743 pbc="T T T"
Ga 1.8322 1.8322 1.8322
Ga 5.4965 5.4965 5.4965
Co 3.6644 3.6644 1.8136
Co 3.6644 1.8136 3.6644
Co 5.5151 3.6644 3.6644
Co 1.8136 3.6644 3.6644
Co 3.6644 5.5151 3.6644
Co 3.6644 3.6644 5.5151
H 0.0000 0.0000 0.0000
N 3.6644 3.6644 3.6644


# 4
5
Lattice="4.0997 0.0000 0.0000 0.0000 4.0997 0.0000 0.0000 0.0000 3.8009" Properties=species:S:1:pos:R:3 comment="PBE-GGA Nb2GaCoH, optimized geometry" density_g_cm3=8.2 total_energy_ev_per_atom=-6.93 m_tot_mub_per_cell=0.859 pbc="T T T"
Nb 0.0000 2.0499 0.0000
Nb 2.0499 0.0000 0.0000
Ga 0.0000 0.0000 1.9004
Co 2.0499 2.0499 1.9004
H 2.0499 2.0499 0.0000


# 5
10
Lattice="1.3919 -5.8526 0.0000 1.3919 5.8526 0.0000 0.0000 0.0000 6.8651" Properties=species:S:1:pos:R:3 comment="PBE-GGA NbGaCo2H, optimized geometry" density_g_cm3=8.4 total_energy_ev_per_atom=-6.29 m_tot_mub_per_cell=0.000 relative_energy_kj_per_mol_atoms=0.0 pbc="T T T"
Nb 1.3919 5.5895 5.1488
Nb 1.3919 -5.5895 1.7163
Ga 1.3919 2.8078 1.7163
Ga 1.3919 -2.8078 5.1488
Co 1.3919 1.6078 3.7844
Co 1.3919 1.6078 6.5133
Co 1.3919 -1.6078 0.3518
Co 1.3919 -1.6078 3.0808
H 1.3919 0.0000 0.0000
H 1.3919 0.0000 3.4326


# 6
5
Lattice="3.7860 0.0000 0.0000 0.0000 3.7860 0.0000 0.0000 0.0000 3.8833" Properties=species:S:1:pos:R:3 comment="PBE-GGA NbGaCo2H, optimized geometry" density_g_cm3=8.4 total_energy_ev_per_atom=-6.24 m_tot_mub_per_cell=0.000 relative_energy_kj_per_mol_atoms=5.3 pbc="T T T"
Nb 0.0000 0.0000 0.0000
Ga 1.8930 1.8930 0.0000
Co 0.0000 1.8930 1.9416
Co 1.8930 0.0000 1.9416
H 0.0000 0.0000 1.9416


# 7
8
Lattice="2.9838 0.0000 0.0000 0.0000 4.1762 0.0000 0.0000 0.0000 7.3930" Properties=species:S:1:pos:R:3 comment="PBE-GGA NbGaCoH, optimized geometry" density_g_cm3=8.0 total_energy_ev_per_atom=-6.08 m_tot_mub_per_cell=0.851 pbc="T T T"
Nb 0.0000 0.0000 0.0000
Nb 0.0000 2.0881 3.6965
Ga 1.4919 0.0000 2.4623
Ga 1.4919 2.0881 6.1588
Co 1.4919 0.0000 4.8804
Co 1.4919 2.0881 1.1839
H 0.0000 0.0000 5.4152
H 0.0000 2.0881 1.7187


# 8
12
Lattice="4.2257 0.0000 0.0000 -2.1128 3.6595 0.0000 0.0000 0.0000 6.5172" Properties=species:S:1:pos:R:3 comment="PBE-GGA NpGaCo4H6, optimized geometry" density_g_cm3=9.0 total_energy_ev_per_atom=-5.48 m_tot_mub_per_cell=0.167 pbc="T T T"
Np 0.0000 0.0000 0.0000
Ga 0.0000 0.0000 3.2586
Co 0.0000 2.4397 2.0886
Co 0.0000 2.4397 4.4286
Co 2.1128 1.2198 2.0886
Co 2.1128 1.2198 4.4286
H -1.0564 1.8298 0.9884
H -1.0564 1.8298 5.5288
H 2.1128 0.0000 0.9884
H 2.1128 0.0000 5.5288
H 1.0564 1.8298 0.9884
H 1.0564 1.8298 5.5288


# 9
12
Lattice="4.5527 0.0000 0.0000 -2.2763 3.9428 0.0000 0.0000 0.0000 6.0391" Properties=species:S:1:pos:R:3 comment="PBE-GGA NpGaCo2H8, optimized geometry" density_g_cm3=6.6 total_energy_ev_per_atom=-4.63 m_tot_mub_per_cell=2.168 pbc="T T T"
Np 0.0000 0.0000 0.0000
Ga 0.0000 0.0000 3.0195
Co 0.0000 2.6285 0.7692
Co 2.2764 1.3142 5.2699
H 0.0000 1.3701 1.8230
H -1.0898 3.2577 1.8230
H 0.0000 2.6285 5.2642
H 1.1865 0.6850 4.2160
H 1.0898 3.2577 1.8230
H 2.2764 1.3142 0.7748
H 3.3662 0.6850 4.2160
H 2.2763 2.5727 4.2160


# 10
5
Lattice="4.7750 0.0000 0.0000 0.0000 4.7750 0.0000 0.0000 0.0000 3.3141" Properties=species:S:1:pos:R:3 comment="PBE-GGA Ga2CoHOs, optimized geometry" density_g_cm3=8.6 total_energy_ev_per_atom=-4.88 m_tot_mub_per_cell=1.554 pbc="T T T"
Ga 0.0000 2.3875 0.0000
Ga 2.3875 0.0000 0.0000
Co 0.0000 0.0000 1.6571
H 2.3875 2.3875 1.6571
Os 2.3875 2.3875 0.0000


# 11
5
Lattice="4.2488 0.0000 0.0000 0.0000 4.2488 0.0000 0.0000 0.0000 3.4461" Properties=species:S:1:pos:R:3 comment="PBE-GGA Ga2CoPH, optimized geometry" density_g_cm3=6.1 total_energy_ev_per_atom=-3.94 m_tot_mub_per_cell=0.000 pbc="T T T"
Ga 0.0000 2.1244 0.0000
Ga 2.1244 0.0000 0.0000
Co 0.0000 0.0000 1.7230
P 2.1244 2.1244 1.7230
H 2.1244 2.1244 0.0000


# 12
12
Lattice="3.7768 0.0000 0.0000 0.0000 3.7768 0.0000 0.0000 0.0000 12.0188" Properties=species:S:1:pos:R:3 comment="PBE-GGA PaGa2Co2H, optimized geometry" density_g_cm3=9.5 total_energy_ev_per_atom=-5.68 m_tot_mub_per_cell=0.000 pbc="T T T"
Pa 0.0000 0.0000 0.0000
Pa 1.8884 1.8884 6.0094
Ga 0.0000 1.8884 3.0047
Ga 0.0000 1.8884 9.0141
Ga 1.8884 0.0000 3.0047
Ga 1.8884 0.0000 9.0141
Co 0.0000 0.0000 4.5398
Co 0.0000 0.0000 7.4791
Co 1.8884 1.8884 1.4697
Co 1.8884 1.8884 10.5492
H 0.0000 0.0000 6.0094
H 1.8884 1.8884 0.0000


# 13
4
Lattice="4.3169 0.0000 0.0000 -2.1585 3.7386 0.0000 0.0000 0.0000 3.4140" Properties=species:S:1:pos:R:3 comment="PBE-GGA PaGaCoH, optimized geometry" density_g_cm3=10.9 total_energy_ev_per_atom=-6.20 m_tot_mub_per_cell=0.000 pbc="T T T"
Pa 0.0000 0.0000 0.0000
Ga 0.0000 2.4924 1.7070
Co 2.1585 1.2462 1.7070
H 2.1585 1.2462 0.0000


# 14
10
Lattice="2.1010 1.2130 5.2348 -2.1010 1.2130 5.2348 0.0000 -2.4260 5.2348" Properties=species:S:1:pos:R:3 comment="PBE-GGA PaGaCo2H6, optimized geometry" density_g_cm3=8.8 total_energy_ev_per_atom=-4.90 m_tot_mub_per_cell=2.002 pbc="T T T"
Pa 0.0000 0.0000 0.0000
Ga 0.0000 0.0000 7.8522
Co 0.0000 0.0000 3.2895
Co 0.0000 0.0000 12.4148
H -1.0587 -0.6113 6.1506
H 0.0000 -1.2225 9.5538
H -1.0587 0.6113 9.5538
H 1.0587 -0.6113 6.1506
H 0.0000 1.2225 6.1506
H 1.0587 0.6113 9.5537


# 15
5
Lattice="4.2836 0.0000 0.0000 0.0000 4.2836 0.0000 0.0000 0.0000 3.1682" Properties=species:S:1:pos:R:3 comment="PBE-GGA Ga2CoHPd, optimized geometry" density_g_cm3=8.7 total_energy_ev_per_atom=-4.51 m_tot_mub_per_cell=0.409 pbc="T T T"
Ga 0.0000 2.1418 0.0000
Ga 2.1418 0.0000 0.0000
Co 0.0000 0.0000 1.5841
H 0.0000 0.0000 0.0000
Pd 2.1418 2.1418 1.5841


# 16
5
Lattice="4.2253 0.0000 0.0000 0.0000 4.2253 0.0000 0.0000 0.0000 3.2736" Properties=species:S:1:pos:R:3 comment="PBE-GGA Ga2CoHPt, optimized geometry" density_g_cm3=11.2 total_energy_ev_per_atom=-4.69 m_tot_mub_per_cell=0.662 pbc="T T T"
Ga 0.0000 2.1127 0.0000
Ga 2.1127 0.0000 0.0000
Co 0.0000 0.0000 1.6368
H 0.0000 0.0000 0.0000
Pt 2.1127 2.1127 1.6368


# 17
5
Lattice="3.7143 0.0000 0.0000 0.0000 3.7143 0.0000 0.0000 0.0000 3.8957" Properties=species:S:1:pos:R:3 comment="PBE-GGA GaCo2HPt, optimized geometry" density_g_cm3=11.9 total_energy_ev_per_atom=-5.48 m_tot_mub_per_cell=2.023 relative_energy_kj_per_mol_atoms=0.0 pbc="T T T"
Ga 0.0000 0.0000 0.0000
Co 0.0000 1.8571 1.9479
Co 1.8571 0.0000 1.9479
H 1.8571 1.8571 1.9479
Pt 1.8571 1.8571 0.0000


# 18
5
Lattice="3.6292 0.0000 0.0000 0.0000 3.6292 0.0000 0.0000 0.0000 4.0681" Properties=species:S:1:pos:R:3 comment="PBE-GGA GaCo2HPt, optimized geometry" density_g_cm3=11.9 total_energy_ev_per_atom=-5.41 m_tot_mub_per_cell=2.189 relative_energy_kj_per_mol_atoms=6.3 pbc="T T T"
Ga 0.0000 0.0000 0.0000
Co 0.0000 1.8146 2.0341
Co 1.8146 0.0000 2.0341
H 0.0000 0.0000 2.0341
Pt 1.8146 1.8146 0.0000


# 19
5
Lattice="4.7603 0.0000 0.0000 0.0000 4.7603 0.0000 0.0000 0.0000 3.2217" Properties=species:S:1:pos:R:3 comment="PBE-GGA GaCo2HPt, optimized geometry" density_g_cm3=8.7 total_energy_ev_per_atom=-4.70 m_tot_mub_per_cell=3.706 relative_energy_kj_per_mol_atoms=74.9 pbc="T T T"
Ga 0.0000 0.0000 0.0000
Co 0.0000 2.3801 1.6108
Co 2.3801 0.0000 1.6108
H 2.3801 2.3801 0.0000
Pt 2.3801 2.3801 1.6108


# 20
12
Lattice="4.1990 0.0000 0.0000 -2.0995 3.6365 0.0000 0.0000 0.0000 6.1045" Properties=species:S:1:pos:R:3 comment="PBE-GGA PuGaCo2H8, optimized geometry" density_g_cm3=7.8 total_energy_ev_per_atom=-4.83 m_tot_mub_per_cell=6.431 pbc="T T T"
Pu 0.0000 0.0000 0.0000
Ga 0.0000 0.0000 3.0523
Co 0.0000 2.4243 4.0495
Co 2.0995 1.2122 2.0550
H -1.2152 2.4531 1.7830
H 0.5827 1.3576 1.7830
H 0.0000 2.4243 5.6236
H 1.4670 0.1742 4.3215
H 0.6325 3.4623 1.7830
H 2.0995 1.2122 0.4809
H 1.5168 2.2789 4.3215
H 3.3147 1.1834 4.3215


# 21
10
Lattice="1.4521 -5.7449 0.0000 1.4521 5.7449 0.0000 0.0000 0.0000 7.6569" Properties=species:S:1:pos:R:3 comment="PBE-GGA PuGaCo2H, optimized geometry" density_g_cm3=11.2 total_energy_ev_per_atom=-7.13 m_tot_mub_per_cell=7.809 pbc="T T T"
Pu 1.4521 5.4905 5.7427
Pu 1.4521 -5.4905 1.9142
Ga 1.4521 2.9632 1.9142
Ga 1.4521 -2.9632 5.7427
Co 1.4521 1.7884 4.0488
Co 1.4521 1.7884 7.4366
Co 1.4521 -1.7884 0.2204
Co 1.4521 -1.7884 3.6081
H 1.4521 0.0000 0.0000
H 1.4521 0.0000 3.8285


# 22
5
Lattice="3.7368 0.0000 0.0000 0.0000 3.7368 0.0000 0.0000 0.0000 3.8165" Properties=species:S:1:pos:R:3 comment="PBE-GGA GaCo2ReH, optimized geometry" density_g_cm3=11.7 total_energy_ev_per_atom=-6.49 m_tot_mub_per_cell=3.128 pbc="T T T"
Ga 0.0000 0.0000 0.0000
Co 0.0000 1.8684 1.9083
Co 1.8684 0.0000 1.9083
Re 1.8684 1.8684 0.0000
H 1.8684 1.8684 1.9083


# 23
5
Lattice="3.9409 0.0000 0.0000 0.0000 3.9409 0.0000 0.0000 0.0000 3.5641" Properties=species:S:1:pos:R:3 comment="PBE-GGA GaCoHRh2, optimized geometry" density_g_cm3=10.1 total_energy_ev_per_atom=-5.86 m_tot_mub_per_cell=0.487 pbc="T T T"
Ga 0.0000 0.0000 0.0000
Co 1.9705 1.9705 0.0000
H 1.9705 1.9705 1.7821
Rh 0.0000 1.9705 1.7821
Rh 1.9705 0.0000 1.7821


# 24
5
Lattice="3.6328 0.0000 0.0000 0.0000 3.6328 0.0000 0.0000 0.0000 3.9704" Properties=species:S:1:pos:R:3 comment="PBE-GGA GaCo2HRh, optimized geometry" density_g_cm3=9.2 total_energy_ev_per_atom=-5.75 m_tot_mub_per_cell=2.794 relative_energy_kj_per_mol_atoms=0.0 pbc="T T T"
Ga 0.0000 0.0000 0.0000
Co 0.0000 1.8164 1.9852
Co 1.8164 0.0000 1.9852
H 1.8164 1.8164 1.9852
Rh 1.8164 1.8164 0.0000


# 25
5
Lattice="3.5505 0.0000 0.0000 0.0000 3.5505 0.0000 0.0000 0.0000 4.1924" Properties=species:S:1:pos:R:3 comment="PBE-GGA GaCo2HRh, optimized geometry" density_g_cm3=9.2 total_energy_ev_per_atom=-5.63 m_tot_mub_per_cell=2.886 relative_energy_kj_per_mol_atoms=12.1 pbc="T T T"
Ga 0.0000 0.0000 0.0000
Co 0.0000 1.7752 2.0962
Co 1.7752 0.0000 2.0962
H 0.0000 0.0000 2.0962
Rh 1.7752 1.7752 0.0000


# 26
5
Lattice="4.0468 0.0000 0.0000 0.0000 4.0468 0.0000 0.0000 0.0000 3.3395" Properties=species:S:1:pos:R:3 comment="PBE-GGA GaCoHRu2, optimized geometry" density_g_cm3=10.1 total_energy_ev_per_atom=-6.39 m_tot_mub_per_cell=1.085 pbc="T T T"
Ga 0.0000 0.0000 0.0000
Co 2.0234 2.0234 0.0000
H 2.0234 2.0234 1.6698
Ru 0.0000 2.0234 1.6698
Ru 2.0234 0.0000 1.6698